1.
Material: BaHgPb3
Method: DFT, PBE
State: optimized geometry

Calculated values
Energy above the lowest structure with this stoichiometry = 0.05 eV per formula unit
ΔE_f = -1.32 eV/f.u.
Mass density = 9.0 g/cm3
Total DFT energy (no corrections) = -29.35 eV/cell
Calculated volume = 35.3 Å³/atom

a b c (Å): 6.9012 7.1243 7.1817
angles (deg): 90.00 90.00 90.00
Last column: nearest neighbours and their distance in Å.
Space group Pmn2_1 (No. 31)
Symmetry-distinct sites (fractional):
Ba 0.0000 0.2504 0.0000 (multiplicity 2)  3 Hg 3.50-3.79, 5 Pb 3.63-3.90
Hg 0.0000 0.6016 0.3407 (multiplicity 2)  5 Pb 2.99-3.19
Pb 0.0000 0.8964 0.6372 (multiplicity 2)  1 Hg 2.99, 4 Pb 3.26-3.31
Pb 0.2492 0.2592 0.4978 (multiplicity 4)  2 Hg 3.17-3.19, 4 Pb 3.26-3.46

2.
Material: Zn2InIr
Method: DFT, PBE
State: optimized geometry

Calculated values
ΔE_f = 0.16 eV/f.u.
Mass density = 11.2 g/cm3
Total DFT energy (no corrections) = -27.97 eV/cell
Calculated volume = 16.2 Å³/atom

a b c (Å): 5.6017 7.4584 3.0985
angles (deg): 90.00 90.00 90.00
Last column: nearest neighbours and their distance in Å.
Space group Cmmm (No. 65)
Symmetry-distinct sites (fractional):
Zn 0.2500 0.2500 0.0000 (multiplicity 4)  4 In 2.80, 4 Ir 2.80, 4 Zn 2.80-3.10
In 0.0000 0.0000 0.5000 (multiplicity 2)  8 Zn 2.80, 2 Ir 2.80, 2 In 3.10
Ir 0.0000 0.5000 0.5000 (multiplicity 2)  8 Zn 2.80, 2 In 2.80, 2 Ir 3.10

3.
Material: BaLi2Ir
Method: DFT, PBE
State: optimized geometry

Calculated values
Energy above the lowest structure with this stoichiometry = 0.36 eV per formula unit
ΔE_f = 0.48 eV/f.u.
Mass density = 6.0 g/cm3
Total DFT energy (no corrections) = -14.13 eV/cell
Calculated volume = 23.9 Å³/atom

a b c (Å): 3.5113 3.5113 7.7690
angles (deg): 90.00 90.00 90.00
Last column: nearest neighbours and their distance in Å.
Space group P4mm (No. 99)
Symmetry-distinct sites (fractional):
Ba 0.0000 0.0000 0.0000 (multiplicity 1)  1 Li 3.08, 4 Ir 3.18
Li 0.0000 0.0000 0.3967 (multiplicity 1)  4 Ir 2.71, 4 Li 2.89
Li 0.5000 0.5000 0.5876 (multiplicity 1)  1 Ir 2.58
Ir 0.5000 0.5000 0.2559 (multiplicity 1)  5 Li 2.58-2.71

4.
Material: ScIn2Hg
Method: DFT, PBE
State: optimized geometry

Calculated values
ΔE_f = -0.58 eV/f.u.
Mass density = 8.2 g/cm3
Total DFT energy (no corrections) = -12.69 eV/cell
Calculated volume = 24.0 Å³/atom

a b c (Å): 3.8646 3.8646 6.4262
angles (deg): 90.00 90.00 90.00
Last column: nearest neighbours and their distance in Å.
Space group P4/mmm (No. 123)
Symmetry-distinct sites (fractional):
Sc 0.0000 0.0000 0.0000 (multiplicity 1)  8 In 3.16, 2 Hg 3.21
In 0.5000 0.5000 0.2471 (multiplicity 2)  4 Sc 3.16, 2 In 3.18-3.25, 4 Hg 3.18
Hg 0.0000 0.0000 0.5000 (multiplicity 1)  8 In 3.18, 2 Sc 3.21

5.
Material: KZr2Cu
Method: DFT, PBE
State: optimized geometry

Calculated values
Energy above the lowest structure with this stoichiometry = 0.00 eV per formula unit
ΔE_f = 0.95 eV/f.u.
Mass density = 4.5 g/cm3
Total DFT energy (no corrections) = -21.34 eV/cell
Calculated volume = 26.2 Å³/atom

a b c (Å): 3.3143 3.3143 9.5452
angles (deg): 90.00 90.00 90.00
Last column: nearest neighbours and their distance in Å.
Space group P4mm (No. 99)
Symmetry-distinct sites (fractional):
K 0.0000 0.0000 0.0000 (multiplicity 1)  4 K 3.31, 4 Cu 3.48
Zr 0.0000 0.0000 0.5773 (multiplicity 1)  4 Cu 2.76, 4 Zr 3.09
Zr 0.5000 0.5000 0.3663 (multiplicity 1)  8 Zr 3.09-3.31
Cu 0.5000 0.5000 0.7301 (multiplicity 1)  4 Zr 2.76

6.
Material: CsAgGeTe2
Method: DFT, PBE
State: optimized geometry

Calculated values
Mass density = 4.8 g/cm3
Total DFT energy (no corrections) = -65.67 eV/cell
Calculated volume = 39.0 Å³/atom

a b c (Å): 7.0733 15.8515 6.9625
angles (deg): 90.00 90.00 90.00
Last column: nearest neighbours and their distance in Å.
Space group Cmme (No. 67)
Symmetry-distinct sites (fractional):
Cs 0.0000 0.2500 0.2322 (multiplicity 4)  8 Te 4.02-4.18, 2 Ag 4.28
Ag 0.0000 0.0000 0.0000 (multiplicity 4)  2 Te 2.66
Ge 0.2500 0.0000 0.5000 (multiplicity 4)  4 Te 2.95
Te 0.0000 0.1134 0.7192 (multiplicity 8)  1 Ag 2.66, 2 Ge 2.95

7.
Material: Li2ReTe
Method: DFT, PBE
State: optimized geometry

Calculated values
Energy above the lowest structure with this stoichiometry = 1.57 eV per formula unit
Mass density = 9.0 g/cm3
Total DFT energy (no corrections) = -68.99 eV/cell
Calculated volume = 15.0 Å³/atom

a b c (Å): 6.2189 6.2189 6.2189
angles (deg): 90.00 90.00 90.00
Last column: nearest neighbours and their distance in Å.
Space group Fm-3m (No. 225)
Symmetry-distinct sites (fractional):
Li 0.2500 0.2500 0.2500 (multiplicity 8)  4 Re 2.69, 4 Te 2.69
Re 0.0000 0.0000 0.0000 (multiplicity 4)  8 Li 2.69
Te 0.0000 0.0000 0.5000 (multiplicity 4)  8 Li 2.69

8.
Material: Li2PmAg
Method: DFT, PBE
State: optimized geometry

Calculated values
Energy above the lowest structure with this stoichiometry = 0.87 eV per formula unit
ΔE_f = 0.50 eV/f.u.
Mass density = 4.8 g/cm3
Total DFT energy (no corrections) = -32.78 eV/cell
Calculated volume = 22.9 Å³/atom

a b c (Å): 3.1736 3.1736 31.4605
angles (deg): 90.00 90.00 120.00
Last column: nearest neighbours and their distance in Å.
Space group R-3m (No. 166, hexagonal axes)
Symmetry-distinct sites (fractional):
Li 0.0000 0.0000 0.0996 (multiplicity 6)  3 Ag 2.79
Pm 0.0000 0.0000 0.0000 (multiplicity 3)  2 Li 3.13, 6 Pm 3.17
Ag 0.0000 0.0000 0.5000 (multiplicity 3)  6 Li 2.79

9.
Material: HoEr6Se8
Method: DFT, PBE
State: optimized geometry

Calculated values
Mass density = 8.1 g/cm3
Total DFT energy (no corrections) = -347.07 eV/cell
Calculated volume = 24.6 Å³/atom

a b c (Å): 11.3807 11.3807 11.3807
angles (deg): 90.00 90.00 90.00
Last column: nearest neighbours and their distance in Å.
Space group Fm-3m (No. 225)
Symmetry-distinct sites (fractional):
Ho 0.0000 0.0000 0.0000 (multiplicity 4)  6 Se 2.90
Er 0.0000 0.2500 0.2500 (multiplicity 24)  6 Se 2.85
Se 0.0000 0.0000 0.2544 (multiplicity 24)  4 Er 2.85, 1 Ho 2.90
Se 0.2500 0.2500 0.2500 (multiplicity 8)  6 Er 2.85

10.
Material: NbSe2BrCl
Method: DFT, PBE
State: optimized geometry

Calculated values
Energy above the lowest structure with this stoichiometry = 6.26 eV per formula unit
Mass density = 4.8 g/cm3
Total DFT energy (no corrections) = -15.31 eV/cell
Calculated volume = 25.2 Å³/atom

a b c (Å): 5.0746 5.0746 4.8946
angles (deg): 90.00 90.00 90.00
Last column: nearest neighbours and their distance in Å.
Space group P4/mmm (No. 123)
Symmetry-distinct sites (fractional):
Nb 0.0000 0.0000 0.0000 (multiplicity 1)  8 Se 3.53, 4 Br 3.59
Se 0.0000 0.5000 0.5000 (multiplicity 2)  2 Cl 2.54
Br 0.5000 0.5000 0.0000 (multiplicity 1)  2 Cl 2.45
Cl 0.5000 0.5000 0.5000 (multiplicity 1)  2 Br 2.45, 4 Se 2.54

11.
Material: BaScC
Method: DFT, PBE
State: optimized geometry

Calculated values
ΔE_f = -0.13 eV/f.u.
Mass density = 3.4 g/cm3
Total DFT energy (no corrections) = -140.83 eV/cell
Calculated volume = 31.2 Å³/atom

a b c (Å): 20.8454 4.0342 8.9009
angles (deg): 90.00 90.25 90.00
Last column: nearest neighbours and their distance in Å.
Space group C2/m (No. 12)
Symmetry-distinct sites (fractional):
Ba 0.0864 0.0000 0.3738 (multiplicity 4)  1 C 2.61
Ba 0.1069 0.5000 0.8609 (multiplicity 4)  2 C 2.90
Sc 0.2320 0.0000 0.1221 (multiplicity 4)  4 C 2.26-2.38
Sc 0.2424 0.0000 0.6262 (multiplicity 4)  4 C 2.23-2.35
C 0.2070 0.0000 0.8746 (multiplicity 4)  4 Sc 2.26-2.38
C 0.2115 0.0000 0.3725 (multiplicity 4)  4 Sc 2.23-2.35

12.
Material: Cu2Ag
Method: DFT, PBE
State: optimized geometry

Calculated values
Energy above the lowest structure with this stoichiometry = 0.33 eV per formula unit
ΔE_f = 0.51 eV/f.u.
Mass density = 9.1 g/cm3
Total DFT energy (no corrections) = -31.60 eV/cell
Calculated volume = 14.3 Å³/atom

a b c (Å): 7.4605 7.4605 2.6722
angles (deg): 90.00 90.00 120.00
Last column: nearest neighbours and their distance in Å.
Space group P-62m (No. 189)
Symmetry-distinct sites (fractional):
Cu 0.0000 0.3100 0.0000 (multiplicity 3)  4 Ag 2.58-2.67, 8 Cu 2.67-2.84
Cu 0.0000 0.6433 0.5000 (multiplicity 3)  5 Ag 2.66-2.75, 8 Cu 2.67-2.84
Ag 0.0000 0.0000 0.5000 (multiplicity 1)  9 Cu 2.66-2.67, 2 Ag 2.67
Ag 0.3333 0.6667 0.0000 (multiplicity 2)  9 Cu 2.58-2.75, 2 Ag 2.67